No. 1
A relaxed structure of Be22Re, computed with PBE.

Values from the calculation:
space group: Fd-3m (227)
DFT total energy: -96.4 eV/f.u.

abc: 8.1286 8.1286 8.1286
angles: 60.00 60.00 60.00
Atoms (fractional coordinates):
Be: 0.4494 0.1815 0.9197
Be: 0.1815 0.4494 0.4494
Be: 0.9197 0.4494 0.1815
Be: 0.8006 0.8006 0.3303
Be: 0.3645 0.3645 0.6355
Be: 0.8006 0.0685 0.3303
Be: 0.6250 0.1250 0.1250
Be: 0.9197 0.4494 0.4494
Be: 0.8855 0.8855 0.6145
Be: 0.0685 0.8006 0.8006
Re: 0.2500 0.2500 0.2500
Be: 0.1250 0.1250 0.1250
Be: 0.8006 0.8006 0.0685
Be: 0.1250 0.6250 0.6250
Be: 0.1250 0.6250 0.1250
Be: 0.6145 0.8855 0.6145
Be: 0.4494 0.9197 0.4494
Be: 0.4494 0.9197 0.1815
Be: 0.6250 0.1250 0.6250
Be: 0.6355 0.3645 0.3645
Be: 0.1815 0.9197 0.4494
Be: 0.8006 0.3303 0.0685
Be: 0.0685 0.8006 0.3303
Be: 0.9197 0.1815 0.4494
Be: 0.6145 0.6145 0.8855
Be: 0.3303 0.8006 0.8006
Be: 0.4494 0.4494 0.1815
Be: 0.1250 0.1250 0.6250
Be: 0.6145 0.8855 0.8855
Be: 0.3645 0.6355 0.3645
Be: 0.8006 0.0685 0.8006
Be: 0.6250 0.6250 0.1250
Be: 0.6355 0.3645 0.6355
Be: 0.6355 0.6355 0.3645
Be: 0.0685 0.3303 0.8006
Be: 0.6250 0.6250 0.6250
Be: 0.3645 0.6355 0.6355
Be: 0.8006 0.3303 0.8006
Re: 0.0000 0.0000 0.0000
Be: 0.4494 0.4494 0.9197
Be: 0.3303 0.8006 0.0685
Be: 0.8855 0.6145 0.6145
Be: 0.8855 0.6145 0.8855
Be: 0.1815 0.4494 0.9197
Be: 0.3303 0.0685 0.8006
Be: 0.4494 0.1815 0.4494

No. 2
A relaxed structure of LiMg2Pd, computed with PBE.

Values from the calculation:
polymorph energy (0 for the lowest one): 250 meV/atom
space group: P6_3/mmc (194)

abc: 4.4385 4.4385 9.4336
angles: 90.00 90.00 120.00
Atoms (fractional coordinates):
Mg: 0.3333 0.6667 0.5845
Mg: 0.6667 0.3333 0.0845
Pd: 0.0000 0.0000 0.5000
Li: 0.6667 0.3333 0.7500
Li: 0.3333 0.6667 0.2500
Mg: 0.6667 0.3333 0.4155
Mg: 0.3333 0.6667 0.9155
Pd: 0.0000 0.0000 0.0000